La2AlGaPd6 | PBE-GGA | relaxed

Cell and atoms, written as POSCAR:
```
La2AlGaPd6
1.0
-2.587 -4.832 1.859
7.029 -2.482 3.354
-0.637 -0.943 5.679
La Al Ga Pd
2 1 1 6
direct
0.223 0.672 0.552
0.777 0.328 0.448
0.500 0.500 0.000
0.000 0.000 0.000
0.249 0.749 0.000
0.749 0.750 0.999
0.252 0.251 0.500
0.751 0.251 0.000
0.251 0.250 0.001
0.748 0.749 0.500
```

As for the space group: No. 2. Its magnetic moment is 0.000 μB/atom. Its energy of formation from the pure elements is -0.692 eV/atom.